Material: CsLuCdO3
Method: DFT, PBE
State: optimized geometry

Cell lengths 7.4304, 7.4304, 9.0749 Å; angles 90.00, 90.00, 27.53 degrees
Fractional positions:
Cd  0.4141  0.4141  0.2500
Cd  0.5859  0.5859  0.7500
Cs  0.6924  0.6924  0.2500
Cs  0.3076  0.3076  0.7500
Lu  0.0000  0.0000  0.0000
Lu  0.0000  0.0000  0.5000
O  0.4020  0.4020  0.0201
O  0.0189  0.0189  0.2500
O  0.4020  0.4020  0.4799
O  0.5980  0.5980  0.5201
O  0.9811  0.9811  0.7500
O  0.5980  0.5980  0.9799

Calculated values
space-group type: Cmcm (63)
M_tot: 0.00 μB per formula unit
VASP energy: -5.59 eV/atom



Material: CsLuCdTe3
Method: DFT, PBE
State: optimized geometry

Cell lengths 8.8782, 8.8782, 11.7325 Å; angles 90.00, 90.00, 29.28 degrees
Fractional positions:
Cd  0.4611  0.4611  0.2500
Cd  0.5389  0.5389  0.7500
Cs  0.7512  0.7512  0.2500
Cs  0.2488  0.2488  0.7500
Lu  0.0000  0.0000  0.0000
Lu  0.0000  0.0000  0.5000
Te  0.3802  0.3802  0.0426
Te  0.0650  0.0650  0.2500
Te  0.3802  0.3802  0.4574
Te  0.6198  0.6198  0.5426
Te  0.9350  0.9350  0.7500
Te  0.6198  0.6198  0.9574

Calculated values
space-group type: Cmcm (63)
M_tot: 0.00 μB per formula unit
VASP energy: -3.67 eV/atom



Material: CsLuCdTe3
Method: DFT, PBE
State: optimized geometry

Cell lengths 11.7618, 4.4658, 17.1059 Å; angles 90.00, 90.00, 90.00 degrees
Fractional positions:
Cd  0.7462  0.2500  0.2076
Cd  0.2462  0.2500  0.2924
Cd  0.7538  0.7500  0.7076
Cd  0.2538  0.7500  0.7924
Cs  0.2502  0.2500  0.0005
Cs  0.7502  0.2500  0.4995
Cs  0.2498  0.7500  0.5005
Cs  0.7498  0.7500  0.9995
Lu  0.4959  0.7500  0.2494
Lu  0.9959  0.7500  0.2506
Lu  0.0041  0.2500  0.7494
Lu  0.5041  0.2500  0.7506
Te  0.5374  0.2500  0.1288
Te  0.9561  0.2500  0.1298
Te  0.2459  0.7500  0.1871
Te  0.7459  0.7500  0.3129
Te  0.4561  0.2500  0.3702
Te  0.0374  0.2500  0.3712
Te  0.9626  0.7500  0.6288
Te  0.5439  0.7500  0.6298
Te  0.2541  0.2500  0.6871
Te  0.7541  0.2500  0.8129
Te  0.0439  0.7500  0.8702
Te  0.4626  0.7500  0.8712

Calculated values
space-group type: Pnma (62)
M_tot: 0.01 μB per formula unit
VASP energy: -3.67 eV/atom



Material: CsMgCd
Method: DFT, PBE
State: optimized geometry

Cell lengths 5.8795, 5.8795, 5.8795 Å; angles 60.00, 60.00, 60.00 degrees
Fractional positions:
Cd  0.0000  0.0000  0.0000
Cs  0.7500  0.7500  0.7500
Mg  0.2500  0.2500  0.2500

Calculated values
space-group type: F-43m (216)
offset from the most stable computed form: 0 meV/atom



Material: CsNaCd
Method: DFT, PBE
State: optimized geometry

Cell lengths 6.0851, 6.0851, 6.0851 Å; angles 60.00, 60.00, 60.00 degrees
Fractional positions:
Cd  0.0000  0.0000  0.0000
Cs  0.2500  0.2500  0.2500
Na  0.7500  0.7500  0.7500

Calculated values
space-group type: F-43m (216)
offset from the most stable computed form: 0 meV/atom



Material: CsNa3Cd2Pb2
Method: DFT, PBE
State: optimized geometry

Cell lengths 6.4994, 6.0976, 7.3330 Å; angles 90.00, 105.06, 90.00 degrees
Fractional positions:
Cd  0.0081  0.2547  0.9989
Cd  0.0081  0.7453  0.9989
Cs  0.4512  0.0000  0.8314
Na  0.5312  0.5000  0.2112
Na  0.8295  0.0000  0.4776
Na  0.1587  0.5000  0.4871
Pb  0.2710  0.0000  0.3131
Pb  0.7421  0.5000  0.6819

Calculated values
space-group type: Pm (6)
VASP energy: -1.86 eV/atom



Material: Cs3NaCd2Sn2
Method: DFT, PBE
State: optimized geometry

Cell lengths 7.1600, 6.8332, 7.3777 Å; angles 90.00, 105.08, 90.00 degrees
Fractional positions:
Cd  0.0012  0.2514  0.9889
Cd  0.0012  0.7486  0.9889
Cs  0.5429  0.5000  0.1942
Cs  0.1774  0.5000  0.5156
Cs  0.4740  0.0000  0.8177
Na  0.8453  0.0000  0.4864
Sn  0.2124  0.0000  0.2697
Sn  0.7457  0.5000  0.7386

Calculated values
space-group type: Pm (6)
VASP energy: -1.89 eV/atom



Material: CsNdCd
Method: DFT, PBE
State: optimized geometry

Cell lengths 5.4331, 5.4331, 5.4331 Å; angles 60.00, 60.00, 60.00 degrees
Fractional positions:
Cd  0.7500  0.7500  0.7500
Cs  0.5000  0.5000  0.5000
Nd  0.2500  0.2500  0.2500

Calculated values
space-group type: F-43m (216)
M_tot: 0.01 μB per formula unit
VASP energy: -1.31 eV/atom